one | Computed, not measured: a geometry-optimized SbTe2HBr structure at the PBE level of DFT.

Unit cell a=5.8006 b=5.8006 c=5.6265 alpha=90.00 beta=90.00 gamma=90.00
Space group P4/mmm (No. 123)
Asymmetric unit:
Sb (0.0000, 0.0000, 0.0000) [1 per cell]
Te (0.0000, 0.5000, 0.5000) [2 per cell]
H (0.5000, 0.5000, 0.0000) [1 per cell]
Br (0.0000, 0.0000, 0.5000) [1 per cell]

The calculation puts the size of the total moment at 2.860 μB/f.u. For the volume, the calculation gives 189 Å³ per cell.

two | Computed, not measured: a geometry-optimized SbTe2HBr structure at the PBE level of DFT.

Unit cell a=4.4879 b=4.4879 c=5.8793 alpha=90.00 beta=90.00 gamma=90.00
Space group P4/mmm (No. 123)
Asymmetric unit:
Sb (0.0000, 0.0000, 0.0000) [1 per cell]
Te (0.0000, 0.5000, 0.5000) [2 per cell]
H (0.0000, 0.0000, 0.5000) [1 per cell]
Br (0.5000, 0.5000, 0.0000) [1 per cell]

The calculation puts the size of the total moment at 0.000 μB/f.u. For the volume, the calculation gives 118 Å³ per cell.

Most stable pick: two. Distance to second place: 83.4 kJ/mol of atoms.

one | Computed, not measured: a geometry-optimized TlSbHBr structure at the PBE level of DFT.

Unit cell a=3.5057 b=6.0927 c=5.7509 alpha=90.00 beta=107.76 gamma=90.00
Space group Pm (No. 6)
Asymmetric unit:
Tl (0.0000, 0.0000, 0.0000) [1 per cell]
Sb (0.9464, 0.5000, 0.8799) [1 per cell]
H (0.5962, 0.0000, 0.1913) [1 per cell]
Br (0.7082, 0.5000, 0.4037) [1 per cell]

The calculation puts the size of the total moment at 0.000 μB/f.u. For the volume, the calculation gives 117 Å³ per cell.

two | Computed, not measured: a geometry-optimized TlSbHBr structure at the PBE level of DFT.

Unit cell a=18.0420 b=3.5129 c=3.5129 alpha=90.00 beta=101.07 gamma=90.00
Space group Cm (No. 8)
Asymmetric unit:
Tl (0.0000, 0.0000, 0.0000) [2 per cell]
Sb (0.2138, 0.5000, 0.7080) [2 per cell]
H (0.1141, 0.5000, 0.6100) [2 per cell]
Br (0.3952, 0.0000, 0.3964) [2 per cell]

The calculation puts the size of the total moment at 0.000 μB/f.u. For the volume, the calculation gives 219 Å³ per cell.

three | Computed, not measured: a geometry-optimized TlSbHBr structure at the PBE level of DFT.

Unit cell a=4.5903 b=5.2169 c=4.7756 alpha=90.00 beta=90.39 gamma=90.00
Space group Pm (No. 6)
Asymmetric unit:
Tl (0.0000, 0.0000, 0.0000) [1 per cell]
Sb (0.8834, 0.5000, 0.7333) [1 per cell]
H (0.5453, 0.5000, 0.8984) [1 per cell]
Br (0.4725, 0.0000, 0.4262) [1 per cell]

The calculation puts the size of the total moment at 0.000 μB/f.u. For the volume, the calculation gives 114 Å³ per cell.

Most stable pick: two. Distance to second place: 3.7 kJ/mol of atoms.

one | Computed, not measured: a geometry-optimized TlSbHBr structure at the PBE level of DFT.

Unit cell a=4.4812 b=5.6400 c=5.6749 alpha=117.22 beta=99.05 gamma=102.35
Space group P1 (No. 1)
Asymmetric unit:
Tl (0.0000, 0.0000, 0.0000) [1 per cell]
Sb (0.4385, 0.5896, 0.0925) [1 per cell]
H (0.7963, 0.5982, 0.2776) [1 per cell]
Br (0.5022, 0.1300, 0.5963) [1 per cell]

The calculation puts the size of the total moment at 0.000 μB/f.u. For the volume, the calculation gives 119 Å³ per cell.

two | Computed, not measured: a geometry-optimized TlSbHBr structure at the PBE level of DFT.

Unit cell a=8.3012 b=4.8428 c=8.1907 alpha=90.00 beta=113.54 gamma=90.00
Space group Cm (No. 8)
Asymmetric unit:
Tl (0.0000, 0.0000, 0.0000) [2 per cell]
Sb (0.2956, 0.0000, 0.8950) [2 per cell]
H (0.3822, 0.0000, 0.2764) [2 per cell]
Br (0.3436, 0.0000, 0.4362) [2 per cell]

The calculation puts the size of the total moment at 0.000 μB/f.u. For the volume, the calculation gives 302 Å³ per cell.

Most stable pick: one. Distance to second place: 13.8 kJ/mol of atoms.

one | Computed, not measured: a geometry-optimized TlSbHBr structure at the PBE level of DFT.

Unit cell a=4.8423 b=4.8090 c=9.8761 alpha=90.00 beta=101.51 gamma=90.00
Space group Cm (No. 8)
Asymmetric unit:
Tl (0.0000, 0.0000, 0.0000) [2 per cell]
Sb (0.1122, 0.5000, 0.2619) [2 per cell]
H (0.0451, 0.5000, 0.5454) [2 per cell]
Br (0.3565, 0.0000, 0.6428) [2 per cell]

The calculation puts the size of the total moment at 0.000 μB/f.u. For the volume, the calculation gives 225 Å³ per cell.

two | Computed, not measured: a geometry-optimized TlSbHBr structure at the PBE level of DFT.

Unit cell a=7.3789 b=6.4452 c=5.9001 alpha=90.00 beta=120.52 gamma=90.00
Space group Cm (No. 8)
Asymmetric unit:
Tl (0.0000, 0.0000, 0.0000) [2 per cell]
Sb (0.4789, 0.0000, 0.0445) [2 per cell]
H (0.2556, 0.5000, 0.2214) [2 per cell]
Br (0.4968, 0.0000, 0.5612) [2 per cell]

The calculation puts the size of the total moment at 0.000 μB/f.u. For the volume, the calculation gives 242 Å³ per cell.

three | Computed, not measured: a geometry-optimized TlSbHBr structure at the PBE level of DFT.

Unit cell a=5.0819 b=3.6610 c=6.2748 alpha=90.00 beta=92.15 gamma=90.00
Space group Pm (No. 6)
Asymmetric unit:
Tl (0.0000, 0.0000, 0.0000) [1 per cell]
Sb (0.5502, 0.5000, 0.6684) [1 per cell]
H (0.2059, 0.5000, 0.6880) [1 per cell]
Br (0.5185, 0.5000, 0.1904) [1 per cell]

The calculation puts the size of the total moment at 0.000 μB/f.u. For the volume, the calculation gives 117 Å³ per cell.

Most stable pick: two. Distance to second place: 0.6 kJ/mol of atoms.

one | Computed, not measured: a geometry-optimized ScH2Br structure at the PBE level of DFT.

Unit cell a=4.2777 b=4.2777 c=12.4549 alpha=90.00 beta=90.00 gamma=90.00
Space group I4_1/amd (No. 141, origin choice 2)
Asymmetric unit:
Sc (0.0000, 0.2500, 0.3750) [4 per cell]
H (0.0000, 0.0000, 0.5000) [8 per cell]
Br (0.0000, 0.2500, 0.8750) [4 per cell]

The calculation puts the size of the total moment at 0.000 μB/f.u. For the volume, the calculation gives 228 Å³ per cell.

two | Computed, not measured: a geometry-optimized ScH2Br structure at the PBE level of DFT.

Unit cell a=3.4670 b=3.4670 c=14.2887 alpha=90.00 beta=90.00 gamma=120.00
Space group R-3m (No. 166, hexagonal axes)
Asymmetric unit:
Sc (0.0000, 0.0000, 0.0000) [3 per cell]
H (0.0000, 0.0000, 0.3088) [6 per cell]
Br (0.0000, 0.0000, 0.5000) [3 per cell]

The calculation puts the size of the total moment at 0.000 μB/f.u. For the volume, the calculation gives 149 Å³ per cell.

three | Computed, not measured: a geometry-optimized ScH2Br structure at the PBE level of DFT.

Unit cell a=5.8692 b=5.8692 c=5.8692 alpha=90.00 beta=90.00 gamma=90.00
Space group Fm-3m (No. 225)
Asymmetric unit:
Sc (0.0000, 0.0000, 0.0000) [4 per cell]
H (0.2500, 0.2500, 0.2500) [8 per cell]
Br (0.0000, 0.0000, 0.5000) [4 per cell]

The calculation puts the size of the total moment at 0.000 μB/f.u. For the volume, the calculation gives 202 Å³ per cell.

Most stable pick: two. Distance to second place: 15.2 kJ/mol of atoms.

one | Computed, not measured: a geometry-optimized Sc2HBr structure at the PBE level of DFT.

Unit cell a=6.4759 b=6.4759 c=6.4992 alpha=90.00 beta=90.00 gamma=90.00
Space group I-42d (No. 122)
Asymmetric unit:
Sc (0.1456, 0.2500, 0.1250) [8 per cell]
H (0.0000, 0.0000, 0.0000) [4 per cell]
Br (0.0000, 0.0000, 0.5000) [4 per cell]

The calculation puts the size of the total moment at 0.000 μB/f.u. For the volume, the calculation gives 273 Å³ per cell.

two | Computed, not measured: a geometry-optimized Sc2HBr structure at the PBE level of DFT.

Unit cell a=6.4384 b=6.4384 c=6.4384 alpha=90.00 beta=90.00 gamma=90.00
Space group Fm-3m (No. 225)
Asymmetric unit:
Sc (0.2500, 0.2500, 0.2500) [8 per cell]
H (0.0000, 0.0000, 0.0000) [4 per cell]
Br (0.0000, 0.0000, 0.5000) [4 per cell]

The calculation puts the size of the total moment at 0.000 μB/f.u. For the volume, the calculation gives 267 Å³ per cell.

three | Computed, not measured: a geometry-optimized Sc2HBr structure at the PBE level of DFT.

Unit cell a=3.5252 b=3.5252 c=22.6447 alpha=90.00 beta=90.00 gamma=120.00
Space group R-3m (No. 166, hexagonal axes)
Asymmetric unit:
Sc (0.0000, 0.0000, 0.1158) [6 per cell]
H (0.0000, 0.0000, 0.5000) [3 per cell]
Br (0.0000, 0.0000, 0.0000) [3 per cell]

The calculation puts the size of the total moment at 0.001 μB/f.u. For the volume, the calculation gives 244 Å³ per cell.

Most stable pick: one. Distance to second place: 1.7 kJ/mol of atoms.

one | Computed, not measured: a geometry-optimized ScHBr3 structure at the PBE level of DFT.

Unit cell a=5.2961 b=5.2961 c=5.2961 alpha=90.00 beta=90.00 gamma=90.00
Space group Pm-3m (No. 221)
Asymmetric unit:
Sc (0.0000, 0.0000, 0.0000) [1 per cell]
H (0.5000, 0.5000, 0.5000) [1 per cell]
Br (0.0000, 0.0000, 0.5000) [3 per cell]

The calculation puts the size of the total moment at 1.000 μB/f.u. For the volume, the calculation gives 149 Å³ per cell.

two | Computed, not measured: a geometry-optimized ScHBr3 structure at the PBE level of DFT.

Unit cell a=14.6532 b=3.9012 c=10.9192 alpha=90.00 beta=105.90 gamma=90.00
Space group C2 (No. 5)
Asymmetric unit:
Sc (0.2493, 0.0000, 0.1789) [4 per cell]
H (0.0278, 0.9990, 0.3696) [4 per cell]
Br (0.1298, 0.5003, 0.1954) [4 per cell]
Br (0.1482, 0.5002, 0.6054) [4 per cell]
Br (0.1485, 0.0002, 0.9059) [4 per cell]

The calculation puts the size of the total moment at 0.991 μB/f.u. For the volume, the calculation gives 600 Å³ per cell.

three | Computed, not measured: a geometry-optimized ScHBr3 structure at the PBE level of DFT.

Unit cell a=4.6803 b=4.6803 c=4.6803 alpha=90.00 beta=90.00 gamma=90.00
Space group Pm-3m (No. 221)
Asymmetric unit:
Sc (0.0000, 0.0000, 0.0000) [1 per cell]
H (0.5000, 0.5000, 0.5000) [1 per cell]
Br (0.0000, 0.5000, 0.5000) [3 per cell]

The calculation puts the size of the total moment at 0.656 μB/f.u. For the volume, the calculation gives 103 Å³ per cell.

Most stable pick: two. Distance to second place: 7.1 kJ/mol of atoms.

one | Computed, not measured: a geometry-optimized ScHSeBr2 structure at the PBE level of DFT.

Unit cell a=5.3339 b=5.3339 c=5.2365 alpha=90.00 beta=90.00 gamma=90.00
Space group P4/mmm (No. 123)
Asymmetric unit:
Sc (0.0000, 0.0000, 0.0000) [1 per cell]
H (0.5000, 0.5000, 0.5000) [1 per cell]
Se (0.0000, 0.0000, 0.5000) [1 per cell]
Br (0.0000, 0.5000, 0.0000) [2 per cell]

The calculation puts the size of the total moment at 1.978 μB/f.u. For the volume, the calculation gives 149 Å³ per cell.

two | Computed, not measured: a geometry-optimized ScHSeBr2 structure at the PBE level of DFT.

Unit cell a=5.2046 b=5.2046 c=3.6141 alpha=90.00 beta=90.00 gamma=90.00
Space group P4/mmm (No. 123)
Asymmetric unit:
Sc (0.0000, 0.0000, 0.0000) [1 per cell]
H (0.5000, 0.5000, 0.5000) [1 per cell]
Se (0.5000, 0.5000, 0.0000) [1 per cell]
Br (0.0000, 0.5000, 0.5000) [2 per cell]

The calculation puts the size of the total moment at 0.382 μB/f.u. For the volume, the calculation gives 98 Å³ per cell.

Most stable pick: one. Distance to second place: 29.5 kJ/mol of atoms.

one | Computed, not measured: a geometry-optimized ScH2WBr structure at the PBE level of DFT.

Unit cell a=3.7670 b=3.7670 c=5.5533 alpha=90.00 beta=90.00 gamma=90.00
Space group P4/mmm (No. 123)
Asymmetric unit:
Sc (0.0000, 0.0000, 0.0000) [1 per cell]
H (0.0000, 0.5000, 0.5000) [2 per cell]
W (0.0000, 0.0000, 0.5000) [1 per cell]
Br (0.5000, 0.5000, 0.0000) [1 per cell]

The calculation puts the size of the total moment at 1.983 μB/f.u. For the volume, the calculation gives 79 Å³ per cell.

two | Computed, not measured: a geometry-optimized ScH2WBr structure at the PBE level of DFT.

Unit cell a=3.8596 b=3.8596 c=5.8992 alpha=90.00 beta=90.00 gamma=90.00
Space group P4/mmm (No. 123)
Asymmetric unit:
Sc (0.0000, 0.0000, 0.0000) [1 per cell]
H (0.0000, 0.5000, 0.5000) [2 per cell]
W (0.5000, 0.5000, 0.0000) [1 per cell]
Br (0.0000, 0.0000, 0.5000) [1 per cell]

The calculation puts the size of the total moment at 2.382 μB/f.u. For the volume, the calculation gives 88 Å³ per cell.

Most stable pick: one. Distance to second place: 95.8 kJ/mol of atoms.

one | Computed, not measured: a geometry-optimized H4SeBr2 structure at the PBE level of DFT.

Unit cell a=17.2585 b=5.7483 c=8.6352 alpha=90.00 beta=90.00 gamma=90.00
Space group Cmcm (No. 63)
Asymmetric unit:
H (0.0000, 0.1038, 0.1286) [8 per cell]
H (0.2323, 0.3578, 0.7500) [8 per cell]
Se (0.0000, 0.2859, 0.2500) [4 per cell]
Br (0.1778, 0.1614, 0.7500) [8 per cell]

The calculation puts the size of the total moment at 0.060 μB/f.u. For the volume, the calculation gives 857 Å³ per cell.

two | Computed, not measured: a geometry-optimized H4SeBr2 structure at the PBE level of DFT.

Unit cell a=9.1240 b=7.8464 c=5.9125 alpha=90.00 beta=125.60 gamma=90.00
Space group Cm (No. 8)
Asymmetric unit:
H (0.0000, 0.0000, 0.0000) [2 per cell]
H (0.1716, 0.5000, 0.6563) [2 per cell]
H (0.4816, 0.1388, 0.2728) [4 per cell]
Se (0.4710, 0.0000, 0.4512) [2 per cell]
Br (0.4965, 0.2825, 0.9781) [4 per cell]

The calculation puts the size of the total moment at 0.000 μB/f.u. For the volume, the calculation gives 344 Å³ per cell.

Most stable pick: two. Distance to second place: 1.1 kJ/mol of atoms.

one | Computed, not measured: a geometry-optimized HSe2Br structure at the PBE level of DFT.

Unit cell a=5.1635 b=6.5828 c=8.7369 alpha=82.84 beta=73.56 gamma=69.62
Space group P1 (No. 1)
Asymmetric unit:
H (0.0000, 0.0000, 0.0000) [1 per cell]
H (0.4449, 0.6175, 0.5065) [1 per cell]
Se (0.1373, 0.9929, 0.8239) [1 per cell]
Se (0.3260, 0.6172, 0.8151) [1 per cell]
Se (0.5517, 0.6015, 0.3269) [1 per cell]
Se (0.9715, 0.3163, 0.3259) [1 per cell]
Br (0.7856, 0.5327, 0.8872) [1 per cell]
Br (0.8348, 0.9995, 0.3265) [1 per cell]

The calculation puts the size of the total moment at 0.000 μB/f.u. For the volume, the calculation gives 267 Å³ per cell.

two | Computed, not measured: a geometry-optimized HSe2Br structure at the PBE level of DFT.

Unit cell a=6.7232 b=6.7232 c=6.7232 alpha=90.00 beta=90.00 gamma=90.00
Space group Fm-3m (No. 225)
Asymmetric unit:
H (0.0000, 0.0000, 0.0000) [4 per cell]
Se (0.2500, 0.2500, 0.2500) [8 per cell]
Br (0.0000, 0.0000, 0.5000) [4 per cell]

The calculation puts the size of the total moment at 0.000 μB/f.u. For the volume, the calculation gives 304 Å³ per cell.

Most stable pick: one. Distance to second place: 115.6 kJ/mol of atoms.